No. 1
# CdHg2Te, optimized geometry, DFT GGA-PBE
# Formation energy from raw total energies (meV/atom): 46.4
# E above lowest polymorph (eV/atom): 0.142
# Total DFT energy (no corrections) (eV per atom): -1.12
# Size of the total moment (μB/cell): 0.00
data_CdHg2Te
_cell_length_a 3.0752
_cell_length_b 6.5583
_cell_length_c 5.9613
_cell_angle_alpha 90.00
_cell_angle_beta 92.48
_cell_angle_gamma 90.00
_symmetry_space_group_name_H-M 'P 1 2/m 1'
_symmetry_Int_Tables_number 10
_symmetry_space_group_name_Hall '-P 2y'
loop_
_atom_site_label
_atom_site_fract_x
_atom_site_fract_y
_atom_site_fract_z
_atom_site_occupancy
Cd1 0.0000 0.0000 0.0000 1
Hg1 0.4812 0.5000 0.7463 1
Te1 0.0000 0.0000 0.5000 1

No. 2
# MgCdRh2, optimized geometry, DFT GGA-PBE
# Total DFT energy (no corrections) (eV per atom): -4.44
# Energy of formation (meV/atom): -140.6
# Size of the total moment (μB/cell): 1.31
data_MgCdRh2
_cell_length_a 2.9421
_cell_length_b 2.9421
_cell_length_c 26.0726
_cell_angle_alpha 90.00
_cell_angle_beta 90.00
_cell_angle_gamma 120.00
_symmetry_space_group_name_H-M 'R -3 m'
_symmetry_Int_Tables_number 166
_symmetry_space_group_name_Hall '-R 3 2"'
loop_
_atom_site_label
_atom_site_fract_x
_atom_site_fract_y
_atom_site_fract_z
_atom_site_occupancy
Mg1 0.0000 0.0000 0.0000 1
Cd1 0.0000 0.0000 0.5000 1
Rh1 0.0000 0.0000 0.2532 1

No. 3
# YPRhCl2, optimized geometry, DFT GGA-PBE
# Formation energy from raw total energies (meV/atom): -487.4
# E above lowest polymorph (eV/atom): 0.000
# Total DFT energy (no corrections) (eV per atom): -5.07
# Size of the total moment (μB/cell): 0.00
data_YPRhCl2
_cell_length_a 4.6180
_cell_length_b 4.6180
_cell_length_c 4.9773
_cell_angle_alpha 90.00
_cell_angle_beta 90.00
_cell_angle_gamma 90.00
_symmetry_space_group_name_H-M 'P 4/m m m'
_symmetry_Int_Tables_number 123
_symmetry_space_group_name_Hall '-P 4 2'
loop_
_atom_site_label
_atom_site_fract_x
_atom_site_fract_y
_atom_site_fract_z
_atom_site_occupancy
Y1 0.0000 0.0000 0.0000 1
P1 0.5000 0.5000 0.0000 1
Rh1 0.5000 0.5000 0.5000 1
Cl1 0.0000 0.5000 0.5000 1

No. 4
# TbPr3Nd6, optimized geometry, DFT GGA-PBE
# E above lowest polymorph (eV/atom): 0.118
# Total DFT energy (no corrections) (eV per atom): -4.51
# Energy of formation (meV/atom): 249.1
# Size of the total moment (μB/cell): 0.00
data_TbPr3Nd6
_cell_length_a 11.6631
_cell_length_b 7.1006
_cell_length_c 8.9695
_cell_angle_alpha 90.00
_cell_angle_beta 102.26
_cell_angle_gamma 90.00
_symmetry_space_group_name_H-M 'C 1 2/m 1'
_symmetry_Int_Tables_number 12
_symmetry_space_group_name_Hall '-C 2y'
loop_
_atom_site_label
_atom_site_fract_x
_atom_site_fract_y
_atom_site_fract_z
_atom_site_occupancy
Tb1 0.0000 0.0000 0.0000 1
Pr1 0.0000 0.0000 0.5000 1
Pr2 0.0360 0.5000 0.8399 1
Nd1 0.1610 0.5000 0.4925 1
Nd2 0.2448 0.2714 0.1880 1